VASP calculation (GGA-PBE) on YTaRh2 after structural relaxation.

Computed properties:
The value obtained for the calculated density is 10665 kg/m3. The calculation puts the formation energy at -0.333 eV per atom. As for the space group: Imm2, No. 44. The total energy is -8.588 eV per atom. The density of states at the Fermi level is 2.5 states/eV per cell. Its magnetic moment is 0.00 Bohr magnetons per cell.

Cell: 5.6567 5.6567 5.6567 Å, 144.47 134.73 58.83°
Last column: nearest neighbours and their distance in Å.
Fractional coordinates of all 4 atoms:
1 Rh 0.0025 0.0025 0.0000  4 Ta 2.78, 2 Y 3.04, 2 Rh 3.08
2 Rh 0.7236 0.2236 0.5000  2 Ta 2.67, 4 Y 2.80
3 Ta 0.5170 0.5170 0.0000  6 Rh 2.67-2.78
4 Y 0.2569 0.7569 0.5000  6 Rh 2.80-3.04, 2 Ta 3.09

VASP calculation (GGA-PBE) on YTaRh2 after structural relaxation.

Computed properties:
The value obtained for the calculated density is 10600 kg/m3. The calculation puts the formation energy at -0.294 eV per atom. As for the space group: Pmm2, No. 25. The total energy is -8.549 eV per atom. The density of states at the Fermi level is 2.6 states/eV per cell. Its magnetic moment is 0.00 Bohr magnetons per cell.

Cell: 3.0330 4.5527 5.3966 Å, 90.00 90.00 90.00°
Last column: nearest neighbours and their distance in Å.
Fractional coordinates of all 4 atoms:
1 Rh 0.0000 0.0000 0.9326  2 Ta 2.69-2.71, 4 Y 2.81
2 Rh 0.5000 0.5000 0.3199  2 Y 2.66-2.74, 4 Ta 2.80
3 Ta 0.0000 0.0000 0.4350  6 Rh 2.69-2.80
4 Y 0.5000 0.5000 0.8125  6 Rh 2.66-2.81

VASP calculation (GGA-PBE) on YTaRh after structural relaxation.

Computed properties:
The value obtained for the calculated density is 9001 kg/m3. The calculation puts the formation energy at -0.133 eV per atom. As for the space group: P3m1, No. 156. The total energy is -8.689 eV per atom. The density of states at the Fermi level is 2.9 states/eV per cell. Its magnetic moment is 0.00 Bohr magnetons per cell.

Cell: 4.2721 4.2721 4.3508 Å, 90.00 90.00 120.00°
Last column: nearest neighbours and their distance in Å.
Fractional coordinates of all 3 atoms:
1 Rh 0.0000 0.0000 0.1442  3 Ta 2.47
2 Ta 0.3333 0.6667 0.1819  3 Rh 2.47
3 Y 0.6667 0.3333 0.6740  6 Rh 3.20-3.38, 6 Ta 3.27-3.31

VASP calculation (GGA-PBE) on YTa2Rh2 after structural relaxation.

Computed properties:
The value obtained for the calculated density is 11779 kg/m3. The calculation puts the formation energy at -0.272 eV per atom. As for the space group: P4/mbm, No. 127. The total energy is -9.246 eV per atom. The density of states at the Fermi level is 9.9 states/eV per cell. Its magnetic moment is 0.00 Bohr magnetons per cell.

Cell: 7.8576 7.8576 2.9984 Å, 90.00 90.00 90.00°
Last column: nearest neighbours and their distance in Å.
Fractional coordinates of all 10 atoms:
1 Y 0.0000 0.0000 0.0000  2 Y 3.00, 4 Rh 3.08, 8 Ta 3.31
2 Y 0.5000 0.5000 0.0000  2 Y 3.00, 4 Rh 3.08, 8 Ta 3.31
3 Rh 0.3702 0.8702 0.0000  6 Ta 2.74-2.77, 3 Rh 2.88-3.00
4 Rh 0.8702 0.6298 0.0000  6 Ta 2.74-2.77, 3 Rh 2.88-3.00
5 Rh 0.6298 0.1298 0.0000  6 Ta 2.74-2.77, 3 Rh 2.88-3.00
6 Rh 0.1298 0.3702 0.0000  6 Ta 2.74-2.77, 3 Rh 2.88-3.00
7 Ta 0.1602 0.6602 0.5000  6 Rh 2.74-2.77, 2 Ta 3.00
8 Ta 0.6602 0.8398 0.5000  6 Rh 2.74-2.77, 2 Ta 3.00
9 Ta 0.8398 0.3398 0.5000  6 Rh 2.74-2.77, 2 Ta 3.00
10 Ta 0.3398 0.1602 0.5000  6 Rh 2.74-2.77, 2 Ta 3.00

VASP calculation (GGA-PBE) on YTa2Rh after structural relaxation.

Computed properties:
The value obtained for the calculated density is 11980 kg/m3. The calculation puts the formation energy at -0.029 eV per atom. As for the space group: Pmmm, No. 47. The total energy is -9.409 eV per atom. The density of states at the Fermi level is 5.1 states/eV per cell. Its magnetic moment is 0.00 Bohr magnetons per cell.

Cell: 3.2968 4.5680 5.0964 Å, 90.00 90.00 90.00°
Last column: nearest neighbours and their distance in Å.
Fractional coordinates of all 4 atoms:
1 Rh 0.0000 0.5000 0.5000  4 Y 2.82, 4 Ta 3.03
2 Ta 0.0000 0.0000 0.0000  4 Ta 2.82, 4 Y 3.03
3 Ta 0.5000 0.5000 0.0000  4 Ta 2.82, 4 Rh 3.03
4 Y 0.5000 0.0000 0.5000  4 Rh 2.82, 4 Ta 3.03

VASP calculation (GGA-PBE) on YTaRh after structural relaxation.

Computed properties:
The value obtained for the calculated density is 10230 kg/m3. The calculation puts the formation energy at -0.265 eV per atom. As for the space group: I4mm, No. 107. The total energy is -8.821 eV per atom. The density of states at the Fermi level is 3.1 states/eV per cell. Its magnetic moment is 0.00 Bohr magnetons per cell.

Cell: 6.1672 6.1673 3.2516 Å, 74.71 74.72 30.57°
Last column: nearest neighbours and their distance in Å.
Fractional coordinates of all 3 atoms:
1 Rh 0.9779 0.9779 0.0221  4 Ta 2.67
2 Ta 0.3585 0.3585 0.6415  4 Rh 2.67
3 Y 0.6635 0.6635 0.3365  4 Rh 3.13, 5 Ta 3.20-3.49, 4 Y 3.25

VASP calculation (GGA-PBE) on TaZnRh2 after structural relaxation.

Computed properties:
The value obtained for the calculated density is 12565 kg/m3. The calculation puts the formation energy at -0.543 eV per atom. As for the space group: Pmmn, No. 59. The total energy is -7.500 eV per atom. The density of states at the Fermi level is 4.5 states/eV per cell. Its magnetic moment is 0.00 Bohr magnetons per cell.

Cell: 4.5039 4.5588 5.8206 Å, 90.00 90.00 90.00°
Last column: nearest neighbours and their distance in Å.
Fractional coordinates of all 8 atoms:
1 Ta 0.5000 0.7027 0.5000  8 Rh 2.68-2.72, 4 Zn 2.91-2.94
2 Ta 0.0000 0.2973 0.0000  8 Rh 2.68-2.72, 4 Zn 2.91-2.94
3 Zn 0.0000 0.2879 0.5000  8 Rh 2.69-2.73, 4 Ta 2.91-2.94
4 Zn 0.5000 0.7121 0.0000  8 Rh 2.69-2.73, 4 Ta 2.91-2.94
5 Rh 0.5000 0.2075 0.2521  4 Ta 2.68-2.72, 4 Zn 2.69-2.73, 4 Rh 2.89-2.94
6 Rh 0.5000 0.2075 0.7479  4 Ta 2.68-2.72, 4 Zn 2.69-2.73, 4 Rh 2.89-2.94
7 Rh 0.0000 0.7925 0.7521  4 Ta 2.68-2.72, 4 Zn 2.69-2.73, 4 Rh 2.89-2.94
8 Rh 0.0000 0.7925 0.2479  4 Ta 2.68-2.72, 4 Zn 2.69-2.73, 4 Rh 2.89-2.94

VASP calculation (GGA-PBE) on TaZnRh2 after structural relaxation.

Computed properties:
The value obtained for the calculated density is 12199 kg/m3. The calculation puts the formation energy at -0.092 eV per atom. As for the space group: R3m, No. 160. The total energy is -7.049 eV per atom. The density of states at the Fermi level is 4.6 states/eV per cell. Its magnetic moment is 0.72 Bohr magnetons per cell.

Cell: 9.0872 9.0872 9.0872 Å, 17.85 17.85 17.85°
Last column: nearest neighbours and their distance in Å.
Fractional coordinates of all 4 atoms:
1 Rh 0.0021 0.0021 0.0021  3 Zn 2.63, 9 Rh 2.81-2.82
2 Rh 0.2501 0.2501 0.2501  3 Ta 2.73, 9 Rh 2.81-2.82
3 Ta 0.5020 0.5020 0.5020  3 Rh 2.73, 6 Ta 2.82, 3 Zn 2.90
4 Zn 0.7458 0.7458 0.7458  3 Rh 2.63, 6 Zn 2.82, 3 Ta 2.90

VASP calculation (GGA-PBE) on Ta2ZnRh after structural relaxation.

Computed properties:
The value obtained for the calculated density is 13470 kg/m3. The calculation puts the formation energy at -0.062 eV per atom. As for the space group: P2/m, No. 10. The total energy is -8.145 eV per atom. The density of states at the Fermi level is 2.8 states/eV per cell. Its magnetic moment is 0.00 Bohr magnetons per cell.

Cell: 2.8802 4.8654 5.6713 Å, 55.33 90.00 90.00°
Last column: nearest neighbours and their distance in Å.
Fractional coordinates of all 4 atoms:
1 Rh 0.0000 0.0000 0.5000  4 Zn 2.83, 6 Ta 2.84-2.86, 2 Rh 2.88
2 Ta 0.0000 0.0000 0.0000  6 Ta 2.83-2.88, 2 Rh 2.84, 4 Zn 2.86
3 Ta 0.5000 0.5000 0.0000  6 Ta 2.83-2.88, 2 Zn 2.84, 4 Rh 2.86
4 Zn 0.5000 0.5000 0.5000  4 Rh 2.83, 6 Ta 2.84-2.86, 2 Zn 2.88

VASP calculation (GGA-PBE) on TaZnRh2 after structural relaxation.

Computed properties:
The value obtained for the calculated density is 12623 kg/m3. The calculation puts the formation energy at -0.477 eV per atom. As for the space group: I-4m2, No. 119. The total energy is -7.435 eV per atom. The density of states at the Fermi level is 1.4 states/eV per cell. Its magnetic moment is 0.00 Bohr magnetons per cell.

Cell: 5.0172 5.0172 5.0172 Å, 136.31 136.31 63.50°
Last column: nearest neighbours and their distance in Å.
Fractional coordinates of all 4 atoms:
1 Rh 0.0000 0.0000 0.0000  4 Ta 2.64, 4 Zn 2.83, 4 Rh 2.83
2 Rh 0.2500 0.7500 0.5000  4 Zn 2.64, 4 Rh 2.83, 4 Ta 2.83
3 Ta 0.5000 0.5000 0.0000  8 Rh 2.64-2.83, 4 Zn 2.83
4 Zn 0.7500 0.2500 0.5000  8 Rh 2.64-2.83, 4 Ta 2.83

Q: What is the magnetic moment in the fifth record?
A: 0.00 Bohr magnetons per cell